# RbZnGa6

A relaxed structure of RbZnGa6 (PBE, Alexandria).

abc: 4.661 4.661 8.108
angles: 90.00 90.00 90.00
Positions (direct):
Rb  0.000  0.000  0.000
Zn  0.000  0.000  0.500
Ga  0.000  0.500  0.333
Ga  0.000  0.500  0.667
Ga  0.500  0.000  0.333
Ga  0.500  0.000  0.667
Ga  0.500  0.500  0.166
Ga  0.500  0.500  0.834

Summary:
Total DFT energy (no corrections): -21.11 eV for the cell shown
Space group: No. 123
Theoretical density: 5.366 Mg/m³
Crystal system: tetragonal
Energy of formation: -8.5 kJ per mole of atoms